Entry 1:
Computed, not measured: Pu8Pd2Rh3 after structural relaxation at the PBE level of DFT.

Computed properties:
Raw total energy ... -0.8499 Ry per atom
E_form ... -248.9 meV per atom
Energy above the lowest structure with this stoichiometry ... 0.00 eV/f.u.

a = 5.063 Å, b = 7.216 Å, c = 8.006 Å
α = 92.68°, β = 98.85°, γ = 108.36°
Positions (direct):
Pu  0.039  0.137  0.334
Pu  0.150  0.378  0.022
Pu  0.246  0.592  0.407
Pu  0.291  0.900  0.114
Pu  0.709  0.100  0.886
Pu  0.754  0.408  0.593
Pu  0.850  0.622  0.978
Pu  0.961  0.863  0.666
Pd  0.373  0.672  0.784
Pd  0.627  0.328  0.216
Rh  0.240  0.253  0.695
Rh  0.500  0.000  0.500
Rh  0.760  0.747  0.305

Entry 2:
Computed, not measured: ErCdNiAu after structural relaxation at the PBE level of DFT.

Computed properties:
Raw total energy ... -0.2976 Ry per atom
E_form ... -415.0 meV per atom

a = 6.737 Å, b = 6.737 Å, c = 6.737 Å
α = 90.00°, β = 90.00°, γ = 90.00°
Positions (direct):
Er  0.000  0.000  0.000
Er  0.000  0.500  0.500
Er  0.500  0.000  0.500
Er  0.500  0.500  0.000
Cd  0.000  0.000  0.500
Cd  0.000  0.500  0.000
Cd  0.500  0.000  0.000
Cd  0.500  0.500  0.500
Ni  0.250  0.250  0.750
Ni  0.250  0.750  0.250
Ni  0.750  0.250  0.250
Ni  0.750  0.750  0.750
Au  0.250  0.250  0.250
Au  0.250  0.750  0.750
Au  0.750  0.250  0.750
Au  0.750  0.750  0.250

Entry 3:
Computed, not measured: Sm2TlC2 after structural relaxation at the PBE level of DFT.

Computed properties:
Raw total energy ... -0.4650 Ry per atom
E_form ... -276.2 meV per atom

a = 8.544 Å, b = 8.544 Å, c = 6.967 Å
α = 107.15°, β = 107.15°, γ = 26.10°
Positions (direct):
Sm  0.003  0.686  0.871
Sm  0.314  0.997  0.629
Sm  0.686  0.003  0.371
Sm  0.997  0.314  0.129
Tl  0.439  0.561  0.250
Tl  0.561  0.439  0.750
C  0.144  0.401  0.470
C  0.401  0.144  0.970
C  0.599  0.856  0.030
C  0.856  0.599  0.530

Entry 4:
Computed, not measured: Mo2OsBr after structural relaxation at the PBE level of DFT.

Computed properties:
Raw total energy ... -0.5948 Ry per atom
Formation energy from raw total energies ... 0.548 eV per atom
Energy above the lowest structure with this stoichiometry ... 0.30 eV/f.u.

a = 2.899 Å, b = 2.899 Å, c = 28.571 Å
α = 90.00°, β = 90.00°, γ = 120.00°
Positions (direct):
Mo  0.000  0.000  0.000
Mo  0.000  0.000  0.250
Mo  0.333  0.667  0.667
Mo  0.333  0.667  0.917
Mo  0.667  0.333  0.333
Mo  0.667  0.333  0.583
Os  0.000  0.000  0.511
Os  0.333  0.667  0.178
Os  0.667  0.333  0.845
Br  0.000  0.000  0.737
Br  0.333  0.667  0.403
Br  0.667  0.333  0.070

Entry 5:
Computed, not measured: Li2LaW after structural relaxation at the PBE level of DFT.

Computed properties:
Raw total energy ... -0.3555 Ry per atom
E_form ... 589.9 meV per atom
Energy above the lowest structure with this stoichiometry ... 0.35 eV/f.u.

a = 2.995 Å, b = 2.995 Å, c = 32.137 Å
α = 90.00°, β = 90.00°, γ = 120.00°
Positions (direct):
Li  0.000  0.000  0.000
Li  0.000  0.000  0.254
Li  0.333  0.667  0.667
Li  0.333  0.667  0.921
Li  0.667  0.333  0.333
Li  0.667  0.333  0.587
La  0.000  0.000  0.491
La  0.333  0.667  0.158
La  0.667  0.333  0.824
W  0.000  0.000  0.738
W  0.333  0.667  0.405
W  0.667  0.333  0.071

Entry 6:
Computed, not measured: Sc6Pd5Rh after structural relaxation at the PBE level of DFT.

Computed properties:
Raw total energy ... -0.5044 Ry per atom
E_form ... -920.9 meV per atom

a = 7.408 Å, b = 7.408 Å, c = 6.524 Å
α = 90.00°, β = 90.00°, γ = 143.08°
Positions (direct):
Sc  0.000  0.000  0.246
Sc  0.000  0.000  0.754
Sc  0.336  0.664  0.248
Sc  0.336  0.664  0.752
Sc  0.664  0.336  0.248
Sc  0.664  0.336  0.752
Pd  0.167  0.833  0.000
Pd  0.168  0.832  0.500
Pd  0.500  0.500  0.500
Pd  0.832  0.168  0.500
Pd  0.833  0.167  0.000
Rh  0.500  0.500  0.000

Entry 7:
Computed, not measured: Na2GaHgCl6 after structural relaxation at the PBE level of DFT.

Computed properties:
Raw total energy ... -0.2025 Ry per atom
Formation energy from raw total energies ... -1.050 eV per atom

a = 7.335 Å, b = 7.335 Å, c = 7.335 Å
α = 60.00°, β = 60.00°, γ = 60.00°
Positions (direct):
Na  0.250  0.250  0.250
Na  0.750  0.750  0.750
Ga  0.000  0.000  0.000
Hg  0.500  0.500  0.500
Cl  0.233  0.233  0.767
Cl  0.233  0.767  0.233
Cl  0.233  0.767  0.767
Cl  0.767  0.233  0.233
Cl  0.767  0.233  0.767
Cl  0.767  0.767  0.233

Entry 8:
Computed, not measured: K2Cd6PdAu after structural relaxation at the PBE level of DFT.

Computed properties:
Raw total energy ... -0.1309 Ry per atom
E_form ... -165.4 meV per atom

a = 7.820 Å, b = 10.375 Å, c = 7.301 Å
α = 90.00°, β = 90.00°, γ = 90.00°
Positions (direct):
K  0.250  0.017  0.237
K  0.250  0.483  0.237
K  0.750  0.517  0.763
K  0.750  0.983  0.763
Cd  0.026  0.250  0.913
Cd  0.043  0.750  0.549
Cd  0.250  0.002  0.735
Cd  0.250  0.498  0.735
Cd  0.457  0.750  0.549
Cd  0.474  0.250  0.913
Cd  0.526  0.750  0.087
Cd  0.543  0.250  0.451
Cd  0.750  0.502  0.265
Cd  0.750  0.998  0.265
Cd  0.957  0.250  0.451
Cd  0.974  0.750  0.087
Pd  0.250  0.250  0.638
Pd  0.750  0.750  0.362
Au  0.250  0.750  0.860
Au  0.750  0.250  0.140

no.,ρ (Mg/m³)
1,15.05
2,11.63
3,8.24
4,11.07
5,6.72
6,6.99
7,3.15
8,5.92